Crystalline CeMnSe3 at its relaxed geometry, computed with GGA-PBE.

The structure in POSCAR format:
```
CeMnSe3
1.0
-1.101 -3.163 -2.157
-2.175 -3.434 6.145
-7.149 3.521 -1.515
Ce Mn Se
2 2 6
Direct
0.250 0.369 0.218
0.750 0.631 0.782
0.250 0.850 0.341
0.750 0.150 0.659
0.750 0.622 0.393
0.250 0.378 0.607
0.750 0.286 0.960
0.250 0.909 0.667
0.250 0.714 0.040
0.750 0.091 0.333
```

- Energy relative to the elements, uncorrected: -1.150 eV/atom
- E_tot: -6.261 eV per atom